Computed, not measured: a geometry-optimized NbMoAu2 structure at the PBE-GGA level of DFT.

Computed properties:
Spin magnetization in μB/f.u.: 0.62
Energy of formation in eV per atom: 0.307
Total DFT energy (no corrections) in eV/cell: -26.2

a = 4.611 Å, b = 4.611 Å, c = 4.611 Å
α = 60.00°, β = 60.00°, γ = 60.00°
Element x y z (fractional)
Au 0.250 0.250 0.250
Au 0.500 0.500 0.500
Mo 0.750 0.750 0.750
Nb 0.000 0.000 0.000